No. 1
# Fe2SbI8 (PBE, optimized geometry)
# Formation energy from raw total energies in eV per atom: -0.20
data_Fe2SbI8
_symmetry_space_group_name_H-M 'C 1 2/m 1'
_symmetry_Int_Tables_number 12
_cell_length_a 15.1655
_cell_length_b 9.7443
_cell_length_c 7.1479
_cell_angle_alpha 90.00
_cell_angle_beta 90.72
_cell_angle_gamma 90.00
loop_
_symmetry_equiv_pos_as_xyz
'x,y,z'
'-x,-y,-z'
'-x,y,-z'
'x,-y,z'
'x+1/2,y+1/2,z'
'-x+1/2,-y+1/2,-z'
'-x+1/2,y+1/2,-z'
'x+1/2,-y+1/2,z'
loop_
_atom_site_label
_atom_site_fract_x
_atom_site_fract_y
_atom_site_fract_z
Fe1 0.1762 0.0000 0.0997
Sb1 0.0000 0.0000 0.5000
I1 0.0890 0.2071 0.2455
I2 0.1647 0.5000 0.8021
I3 0.1722 0.0000 0.7374

---

No. 2
# FeSb2I2 (PBE, optimized geometry)
# Offset from the most stable computed form in eV/f.u.: 3.669
# Formation energy from raw total energies in eV per atom: 1.02
data_FeSb2I2
_symmetry_space_group_name_H-M 'I 4/m m m'
_symmetry_Int_Tables_number 139
_symmetry_space_group_name_Hall '-I 4 2'
_cell_length_a 5.2167
_cell_length_b 5.2167
_cell_length_c 13.4449
_cell_angle_alpha 90.00
_cell_angle_beta 90.00
_cell_angle_gamma 90.00
loop_
_atom_site_label
_atom_site_fract_x
_atom_site_fract_y
_atom_site_fract_z
Fe1 0.0000 0.0000 0.0000
Sb1 0.0000 0.0000 0.3986
I1 0.0000 0.5000 0.2500

---

No. 3
# Fe3SbI9 (PBE, optimized geometry)
# Formation energy from raw total energies in eV per atom: -0.12
data_Fe3SbI9
_symmetry_space_group_name_H-M 'C 1 c 1'
_symmetry_Int_Tables_number 9
_cell_length_a 20.0740
_cell_length_b 10.1945
_cell_length_c 14.4277
_cell_angle_alpha 90.00
_cell_angle_beta 129.05
_cell_angle_gamma 90.00
loop_
_symmetry_equiv_pos_as_xyz
'x,y,z'
'x,-y,z+1/2'
'x+1/2,y+1/2,z'
'x+1/2,-y+1/2,z+1/2'
loop_
_atom_site_label
_atom_site_fract_x
_atom_site_fract_y
_atom_site_fract_z
Fe1 0.0000 0.0732 0.0000
Fe2 0.0906 0.3812 0.8863
Fe3 0.3709 0.0767 0.5464
Sb1 0.2282 0.2739 0.7116
I1 0.0770 0.1169 0.6550
I2 0.0839 0.4368 0.5058
I3 0.1232 0.1598 0.9986
I4 0.2159 0.4295 0.8825
I5 0.2383 0.1765 0.5129
I6 0.3310 0.0134 0.8498
I7 0.3723 0.4913 0.7894
I8 0.4317 0.1293 0.1887
I9 0.4868 0.2614 0.6293

---

No. 4
# FeSbI5 (PBE, optimized geometry)
# Formation energy from raw total energies in eV per atom: -0.19
data_FeSbI5
_symmetry_space_group_name_H-M 'C 1 2/c 1'
_symmetry_Int_Tables_number 15
_cell_length_a 11.5010
_cell_length_b 11.2362
_cell_length_c 11.4037
_cell_angle_alpha 90.00
_cell_angle_beta 119.67
_cell_angle_gamma 90.00
loop_
_symmetry_equiv_pos_as_xyz
'x,y,z'
'-x,-y,-z'
'-x,y,-z+1/2'
'x,-y,z+1/2'
'x+1/2,y+1/2,z'
'-x+1/2,-y+1/2,-z'
'-x+1/2,y+1/2,-z+1/2'
'x+1/2,-y+1/2,z+1/2'
loop_
_atom_site_label
_atom_site_fract_x
_atom_site_fract_y
_atom_site_fract_z
Fe1 0.0000 0.1321 0.2500
Sb1 0.2500 0.2500 0.0000
I1 0.0000 0.3407 0.7500
I2 0.1074 0.2901 0.1652
I3 0.1784 0.0173 0.4582

---

No. 5
# Fe3SbI (PBE, optimized geometry)
# Offset from the most stable computed form in eV/f.u.: 0.000
# Formation energy from raw total energies in eV per atom: 1.38
data_Fe3SbI
_symmetry_space_group_name_H-M 'P m -3 m'
_symmetry_Int_Tables_number 221
_symmetry_space_group_name_Hall '-P 4 2 3'
_cell_length_a 4.7665
_cell_length_b 4.7665
_cell_length_c 4.7665
_cell_angle_alpha 90.00
_cell_angle_beta 90.00
_cell_angle_gamma 90.00
loop_
_atom_site_label
_atom_site_fract_x
_atom_site_fract_y
_atom_site_fract_z
Fe1 0.0000 0.0000 0.5000
Sb1 0.5000 0.5000 0.5000
I1 0.0000 0.0000 0.0000

---

No. 6
# FeSbI3 (PBE, optimized geometry)
# Offset from the most stable computed form in eV/f.u.: 0.000
# Formation energy from raw total energies in eV per atom: 0.49
data_FeSbI3
_symmetry_space_group_name_H-M 'P m -3 m'
_symmetry_Int_Tables_number 221
_symmetry_space_group_name_Hall '-P 4 2 3'
_cell_length_a 5.2157
_cell_length_b 5.2157
_cell_length_c 5.2157
_cell_angle_alpha 90.00
_cell_angle_beta 90.00
_cell_angle_gamma 90.00
loop_
_atom_site_label
_atom_site_fract_x
_atom_site_fract_y
_atom_site_fract_z
Fe1 0.0000 0.0000 0.0000
Sb1 0.5000 0.5000 0.5000
I1 0.0000 0.0000 0.5000

---

No. 7
# FeSbI2 (PBE, optimized geometry)
# Offset from the most stable computed form in eV/f.u.: 0.858
# Formation energy from raw total energies in eV per atom: 0.77
data_FeSbI2
_symmetry_space_group_name_H-M 'F m -3 m'
_symmetry_Int_Tables_number 225
_symmetry_space_group_name_Hall '-F 4 2 3'
_cell_length_a 7.5397
_cell_length_b 7.5397
_cell_length_c 7.5397
_cell_angle_alpha 90.00
_cell_angle_beta 90.00
_cell_angle_gamma 90.00
loop_
_atom_site_label
_atom_site_fract_x
_atom_site_fract_y
_atom_site_fract_z
Fe1 0.0000 0.0000 0.0000
Sb1 0.0000 0.0000 0.5000
I1 0.2500 0.2500 0.2500

---

No. 8
# FeSbI (PBE, optimized geometry)
# Formation energy from raw total energies in eV per atom: 0.14
data_FeSbI
_symmetry_space_group_name_H-M 'P -1'
_symmetry_Int_Tables_number 2
_cell_length_a 3.7788
_cell_length_b 3.8232
_cell_length_c 12.8001
_cell_angle_alpha 89.91
_cell_angle_beta 89.81
_cell_angle_gamma 61.93
loop_
_symmetry_equiv_pos_as_xyz
'x,y,z'
'-x,-y,-z'
loop_
_atom_site_label
_atom_site_fract_x
_atom_site_fract_y
_atom_site_fract_z
Fe1 0.1687 0.1645 0.2229
Sb1 0.4928 0.4893 0.8853
I1 0.1698 0.1767 0.6559